Entry 1:
Material: Tc2HgAs
Method: DFT, PBE
State: optimized geometry

The structure belongs to space group P2/m (No. 10); the cell edges are 3.019, 3.871 and 5.847 Å and the angles 90.00°, 102.42° and 90.00°. The inequivalent atoms are Tc at (0.140, 0.000, 0.287), Hg at (0.500, 0.500, 0.000) and As at (0.500, 0.500, 0.500).

The value obtained for the formation energy is 143.8 kJ/mol of formula units. The value obtained for the energy above the lowest structure with this stoichiometry is 241 meV/atom.

Entry 2:
Material: PmNd3Ga2
Method: DFT, PBE
State: optimized geometry

The structure belongs to space group Pmc2_1 (No. 26); the cell edges are 5.180, 9.728 and 6.725 Å and the angles 90.00°, 90.00° and 90.00°. The inequivalent atoms are Pm at (0.000, 0.055, 0.000), Nd at (0.000, 0.330, 0.668), Nd at (0.500, 0.168, 0.301), Nd at (0.500, 0.446, 0.968), Ga at (0.000, 0.350, 0.195) and Ga at (0.500, 0.150, 0.774).

The value obtained for the formation energy is -226.7 kJ/mol of formula units. The value obtained for the energy above the lowest structure with this stoichiometry is 0 meV/atom.

Entry 3:
Material: ReC
Method: DFT, PBE
State: optimized geometry

The structure belongs to space group P4/nmm (No. 129, origin choice 2); the cell edges are 2.846, 2.846 and 5.077 Å and the angles 90.00°, 90.00° and 90.00°. The inequivalent atoms are Re at (0.250, 0.250, 0.208) and C at (0.250, 0.250, 0.639).

The value obtained for the formation energy is 124.6 kJ/mol of formula units. The value obtained for the energy above the lowest structure with this stoichiometry is 405 meV/atom.

Entry 4:
Material: V3BrCl
Method: DFT, PBE
State: optimized geometry

The structure belongs to space group Pm-3m (No. 221); the cell edges are 4.357, 4.357 and 4.357 Å and the angles 90.00°, 90.00° and 90.00°. The inequivalent atoms are V at (0.000, 0.000, 0.500), Br at (0.500, 0.500, 0.500) and Cl at (0.000, 0.000, 0.000).

The value obtained for the energy above the lowest structure with this stoichiometry is 0 meV/atom. The calculation puts the uncorrected formation energy at 857 meV/atom.

Entry 5:
Material: Pm3Th2UP6
Method: DFT, PBE
State: optimized geometry

The structure belongs to space group C2/m (No. 12); the cell edges are 17.901, 4.099 and 8.223 Å and the angles 90.00°, 103.41° and 90.00°. The inequivalent atoms are Pm at (0.000, 0.000, 0.000), Pm at (0.168, 0.500, 0.333), Th at (0.165, 0.500, 0.832), U at (0.000, 0.000, 0.500), P at (0.001, 0.500, 0.262), P at (0.162, 0.000, 0.581) and P at (0.167, 0.000, 0.082).

The value obtained for the formation energy is -1692.7 kJ/mol of formula units.

Entry 6:
Material: K2Ga2As2P
Method: DFT, PBE
State: optimized geometry

The structure belongs to space group C2/m (No. 12); the cell edges are 14.177, 3.815 and 8.582 Å and the angles 90.00°, 123.26° and 90.00°. The inequivalent atoms are K at (0.069, 0.000, 0.352), Ga at (0.182, 0.500, 0.052), As at (0.190, 0.500, 0.760) and P at (0.000, 0.500, 0.000).

The value obtained for the formation energy is -214.8 kJ/mol of formula units.

Entry 7:
Material: ZrBe2Au2
Method: DFT, PBE
State: optimized geometry

The structure belongs to space group P4/mbm (No. 127); the cell edges are 7.422, 7.422 and 2.776 Å and the angles 90.00°, 90.00° and 90.00°. The inequivalent atoms are Zr at (0.000, 0.000, 0.000), Be at (0.165, 0.335, 0.500) and Au at (0.134, 0.634, 0.000).

The value obtained for the formation energy is -45.9 kJ/mol of formula units. The value obtained for the energy above the lowest structure with this stoichiometry is 120 meV/atom.

Entry 8:
Material: Zr17Cd12
Method: DFT, PBE
State: optimized geometry

The structure belongs to space group I-43m (No. 217); the cell edges are 10.871, 10.871 and 10.871 Å and the angles 90.00°, 90.00° and 90.00°. The inequivalent atoms are Zr at (0.000, 0.000, 0.000), Zr at (0.043, 0.359, 0.641), Zr at (0.176, 0.176, 0.176) and Cd at (0.091, 0.091, 0.721).

The value obtained for the formation energy is -62.5 kJ/mol of formula units.

Entry 9:
Material: LiReAg2
Method: DFT, PBE
State: optimized geometry

The structure belongs to space group Pmmm (No. 47); the cell edges are 2.654, 4.260 and 5.729 Å and the angles 90.00°, 90.00° and 90.00°. The inequivalent atoms are Li at (0.000, 0.000, 0.000), Re at (0.000, 0.000, 0.500) and Ag at (0.500, 0.500, 0.252).

The value obtained for the formation energy is 179.1 kJ/mol of formula units. The value obtained for the energy above the lowest structure with this stoichiometry is 169 meV/atom.

Entry 10:
Material: TbCeSm4Se8
Method: DFT, PBE
State: optimized geometry

The structure belongs to space group R3m (No. 160, hexagonal axes); the cell edges are 8.6255, 8.6255 and 21.0277 Å and the angles 90.00°, 90.00° and 120.00°. The inequivalent atoms are Tb at (0.0000, 0.0000, 0.0000), Ce at (0.0000, 0.0000, 0.6243), Sm at (0.0000, 0.0000, 0.3760), Sm at (0.9998, 0.4999, 0.5001), Se at (0.0000, 0.0000, 0.2433), Se at (0.0000, 0.0000, 0.7596), Se at (0.0234, 0.5117, 0.7511) and Se at (0.1815, 0.3629, 0.5816).

The calculation puts the uncorrected formation energy at -1712 meV/atom.